1.
The following is a PBE calculation of an optimized crystal structure of PuPaPb, from the Alexandria database.

abc: 5.1488 5.1488 3.3327
angles: 90.00 90.00 120.00
Positions (direct):
Pu  0.0000  0.0000  0.0000
Pa  0.6667  0.3333  0.0000
Pb  0.3333  0.6667  0.5000

## Properties
SG   P-6m2, No. 187

***

2.
The following is a PBE calculation of an optimized crystal structure of Hf2HgMoIr, from the Alexandria database.

abc: 4.8536 4.8536 5.0710
angles: 90.00 90.00 90.00
Positions (direct):
Hf  0.0000  0.5000  0.0000
Hf  0.5000  0.0000  0.0000
Hg  0.0000  0.0000  0.5000
Mo  0.0000  0.0000  0.0000
Ir  0.5000  0.5000  0.5000

## Properties
SG   P4/mmm, No. 123

***

Number 1: magnetization 6.63 μB per formula unit, calculated formation energy 0.12 eV per atom. Number 2: magnetization 0.30 μB per formula unit, calculated formation energy 1.27 eV per atom.